[1]
Crystalline MgZnSeO at its relaxed geometry. Source: the Open Quantum Materials Database, functional PBE.

raw total energy = -33.64 eV for the cell shown
distance to the lowest polymorph of the same formula = 0.121 eV/atom

Cell: 3.5880 3.5880 11.5986 Å, 90.00 90.00 120.00°
Element x y z (fractional)
Mg  0.3333  0.6667  0.0000
Mg  0.6667  0.3333  0.5000
Zn  0.0000  0.0000  0.2141
Zn  0.0000  0.0000  0.7141
Se  0.3333  0.6667  0.3201
Se  0.6667  0.3333  0.8201
O  0.0000  0.0000  0.0469
O  0.0000  0.0000  0.5469


[2]
Crystalline MgZnSeO at its relaxed geometry. Source: the Open Quantum Materials Database, functional PBE.

raw total energy = -33.87 eV for the cell shown
distance to the lowest polymorph of the same formula = 0.093 eV/atom

Cell: 6.7309 6.7309 5.6183 Å, 90.00 90.00 149.10°
Element x y z (fractional)
Mg  0.1524  0.8476  0.5000
Mg  0.8476  0.1524  0.0000
Zn  0.4412  0.5588  0.6016
Zn  0.5588  0.4412  0.1016
Se  0.1732  0.8268  0.9708
Se  0.8268  0.1732  0.4708
O  0.4226  0.5774  0.9564
O  0.5774  0.4226  0.4564


[3]
Crystalline MgZnSeO at its relaxed geometry. Source: the Open Quantum Materials Database, functional PBE.

raw total energy = -69.23 eV for the cell shown
distance to the lowest polymorph of the same formula = 0.000 eV/atom

Cell: 6.1471 7.4697 5.8390 Å, 90.00 90.00 90.00°
Element x y z (fractional)
Mg  0.1239  0.0730  0.0000
Mg  0.3761  0.0730  0.5000
Mg  0.6239  0.9270  0.0000
Mg  0.8761  0.9270  0.5000
Zn  0.0425  0.6634  0.0956
Zn  0.4575  0.6634  0.5956
Zn  0.5425  0.3366  0.0956
Zn  0.9575  0.3366  0.5956
Se  0.0628  0.6479  0.6738
Se  0.4372  0.6479  0.1738
Se  0.5628  0.3521  0.6738
Se  0.9372  0.3521  0.1738
O  0.0875  0.0919  0.6587
O  0.4125  0.0919  0.1587
O  0.5875  0.9081  0.6587
O  0.9125  0.9081  0.1587


[4]
Crystalline MgZnSeO at its relaxed geometry. Source: the Open Quantum Materials Database, functional PBE.

raw total energy = -133.04 eV for the cell shown
distance to the lowest polymorph of the same formula = 0.169 eV/atom

Cell: 6.5076 6.6774 12.5621 Å, 90.00 90.00 90.00°
Element x y z (fractional)
Mg  0.1302  0.0647  0.2428
Mg  0.1302  0.4353  0.7428
Mg  0.3698  0.5647  0.2428
Mg  0.3698  0.9353  0.7428
Mg  0.6302  0.0647  0.2572
Mg  0.6302  0.4353  0.7572
Mg  0.8698  0.5647  0.2572
Mg  0.8698  0.9353  0.7572
Zn  0.0811  0.7139  0.9375
Zn  0.0811  0.7861  0.4375
Zn  0.4189  0.2139  0.9375
Zn  0.4189  0.2861  0.4375
Zn  0.5811  0.7139  0.5625
Zn  0.5811  0.7861  0.0625
Zn  0.9189  0.2139  0.5625
Zn  0.9189  0.2861  0.0625
Se  0.2469  0.5442  0.5491
Se  0.2469  0.9558  0.0491
Se  0.2531  0.0442  0.5491
Se  0.2531  0.4558  0.0491
Se  0.7469  0.5442  0.9509
Se  0.7469  0.9558  0.4509
Se  0.7531  0.0442  0.9509
Se  0.7531  0.4558  0.4509
O  0.1252  0.7413  0.2815
O  0.1252  0.7587  0.7815
O  0.3748  0.2413  0.2815
O  0.3748  0.2587  0.7815
O  0.6252  0.7413  0.2185
O  0.6252  0.7587  0.7185
O  0.8748  0.2413  0.2185
O  0.8748  0.2587  0.7185


[5]
Crystalline MgZnSeO at its relaxed geometry. Source: the Open Quantum Materials Database, functional PBE.

raw total energy = -67.62 eV for the cell shown
distance to the lowest polymorph of the same formula = 0.101 eV/atom

Cell: 5.8965 7.2595 7.5439 Å, 90.00 90.00 90.00°
Element x y z (fractional)
Mg  0.0759  0.1610  0.0399
Mg  0.4241  0.8390  0.5399
Mg  0.5759  0.3390  0.9601
Mg  0.9241  0.6610  0.4601
Zn  0.1217  0.5990  0.9782
Zn  0.3783  0.4010  0.4782
Zn  0.6217  0.9010  0.0217
Zn  0.8783  0.0990  0.5218
Se  0.2383  0.1146  0.3654
Se  0.2617  0.8854  0.8654
Se  0.7383  0.3854  0.6346
Se  0.7617  0.6146  0.1346
O  0.2458  0.6343  0.4605
O  0.2542  0.3657  0.9605
O  0.7458  0.8657  0.5395
O  0.7542  0.1343  0.0395


[6]
Crystalline MgZnSeO at its relaxed geometry. Source: the Open Quantum Materials Database, functional PBE.

raw total energy = -67.19 eV for the cell shown
distance to the lowest polymorph of the same formula = 0.127 eV/atom

Cell: 5.7960 8.3676 5.5025 Å, 90.00 90.00 90.00°
Element x y z (fractional)
Mg  0.0188  0.1734  0.0000
Mg  0.4812  0.1734  0.5000
Mg  0.5188  0.8266  0.0000
Mg  0.9812  0.8266  0.5000
Zn  0.1125  0.5787  0.8889
Zn  0.3875  0.5787  0.3889
Zn  0.6125  0.4213  0.8889
Zn  0.8875  0.4213  0.3889
Se  0.0191  0.1515  0.5126
Se  0.4809  0.1515  0.0126
Se  0.5191  0.8485  0.5126
Se  0.9809  0.8485  0.0126
O  0.0697  0.5959  0.5277
O  0.4303  0.5959  0.0277
O  0.5697  0.4041  0.5277
O  0.9303  0.4041  0.0277


[7]
Crystalline MgZnSeO at its relaxed geometry. Source: the Open Quantum Materials Database, functional PBE.

raw total energy = -31.34 eV for the cell shown
distance to the lowest polymorph of the same formula = 0.409 eV/atom

Cell: 3.6125 3.6125 11.6799 Å, 90.00 90.00 120.00°
Element x y z (fractional)
Mg  0.0000  0.0000  0.0000
Mg  0.0000  0.0000  0.5000
Zn  0.3333  0.6667  0.2774
Zn  0.6667  0.3333  0.7774
Se  0.3333  0.6667  0.6189
Se  0.6667  0.3333  0.1189
O  0.0000  0.0000  0.3358
O  0.0000  0.0000  0.8358


[8]
Crystalline MgZnSeO at its relaxed geometry. Source: the Open Quantum Materials Database, functional PBE.

raw total energy = -30.38 eV for the cell shown
distance to the lowest polymorph of the same formula = 0.529 eV/atom

Cell: 6.4709 6.4709 5.7210 Å, 90.00 90.00 149.79°
Element x y z (fractional)
Mg  0.0601  0.9399  0.7500
Mg  0.9399  0.0601  0.2500
Zn  0.3668  0.6332  0.7500
Zn  0.6332  0.3668  0.2500
Se  0.2718  0.7282  0.2500
Se  0.7282  0.2718  0.7500
O  0.5000  0.5000  0.0000
O  0.5000  0.5000  0.5000


[9]
Crystalline MgZnSeO at its relaxed geometry. Source: the Open Quantum Materials Database, functional PBE.

raw total energy = -26.44 eV for the cell shown
distance to the lowest polymorph of the same formula = 1.022 eV/atom

Cell: 3.7665 3.7665 11.3490 Å, 90.00 90.00 90.00°
Element x y z (fractional)
Mg  0.2500  0.7500  0.0000
Mg  0.7500  0.2500  0.0000
Zn  0.2500  0.2500  0.4246
Zn  0.7500  0.7500  0.5754
Se  0.2500  0.2500  0.8524
Se  0.7500  0.7500  0.1476
O  0.2500  0.2500  0.5906
O  0.7500  0.7500  0.4094


[10]
Crystalline MgZnSeO at its relaxed geometry. Source: the Open Quantum Materials Database, functional PBE.

raw total energy = -66.20 eV for the cell shown
distance to the lowest polymorph of the same formula = 0.189 eV/atom

Cell: 5.8597 3.5496 12.7580 Å, 90.00 90.00 90.00°
Element x y z (fractional)
Mg  0.0958  0.2500  0.1933
Mg  0.4042  0.7500  0.6933
Mg  0.5958  0.2500  0.3067
Mg  0.9042  0.7500  0.8067
Zn  0.1903  0.7500  0.4091
Zn  0.3097  0.2500  0.9091
Zn  0.6903  0.7500  0.0909
Zn  0.8097  0.2500  0.5909
Se  0.2326  0.2500  0.5719
Se  0.2674  0.7500  0.0719
Se  0.7326  0.2500  0.9281
Se  0.7674  0.7500  0.4281
O  0.2337  0.7500  0.8240
O  0.2663  0.2500  0.3240
O  0.7337  0.7500  0.6760
O  0.7663  0.2500  0.1760


[11]
Crystalline MgZnSeO at its relaxed geometry. Source: the Open Quantum Materials Database, functional PBE.

raw total energy = -31.23 eV for the cell shown
distance to the lowest polymorph of the same formula = 0.423 eV/atom

Cell: 3.8995 3.8995 9.0251 Å, 90.00 90.00 90.00°
Element x y z (fractional)
Mg  0.2500  0.2500  0.1493
Mg  0.7500  0.7500  0.8507
Zn  0.2500  0.2500  0.5563
Zn  0.7500  0.7500  0.4437
Se  0.2500  0.2500  0.8502
Se  0.7500  0.7500  0.1498
O  0.2500  0.7500  0.5000
O  0.7500  0.2500  0.5000


[12]
Crystalline MgZnSeO at its relaxed geometry. Source: the Open Quantum Materials Database, functional PBE.

raw total energy = -65.09 eV for the cell shown
distance to the lowest polymorph of the same formula = 0.259 eV/atom

Cell: 5.4525 5.4525 8.5684 Å, 90.00 90.00 92.63°
Element x y z (fractional)
Mg  0.2494  0.7506  0.0003
Mg  0.2506  0.7494  0.5003
Mg  0.7494  0.2506  0.4997
Mg  0.7506  0.2494  0.9997
Zn  0.0992  0.4008  0.2500
Zn  0.4008  0.0992  0.7500
Zn  0.5992  0.9008  0.2500
Zn  0.9008  0.5992  0.7500
Se  0.2503  0.2503  0.0000
Se  0.2497  0.2497  0.5000
Se  0.7497  0.7497  0.0000
Se  0.7503  0.7503  0.5000
O  0.2380  0.7620  0.7502
O  0.2620  0.7380  0.2502
O  0.7380  0.2620  0.7498
O  0.7620  0.2380  0.2498


[13]
Crystalline MgZnSeO at its relaxed geometry. Source: the Open Quantum Materials Database, functional PBE.

raw total energy = -27.32 eV for the cell shown
distance to the lowest polymorph of the same formula = 0.911 eV/atom

Cell: 3.9565 3.9565 9.3635 Å, 90.00 90.00 90.00°
Element x y z (fractional)
Mg  0.2500  0.2500  0.2036
Mg  0.7500  0.7500  0.7964
Zn  0.2500  0.2500  0.6035
Zn  0.7500  0.7500  0.3965
Se  0.2500  0.7500  0.0000
Se  0.7500  0.2500  0.0000
O  0.2500  0.2500  0.4006
O  0.7500  0.7500  0.5994


[14]
Crystalline MgZnSeO at its relaxed geometry. Source: the Open Quantum Materials Database, functional PBE.

raw total energy = -67.89 eV for the cell shown
distance to the lowest polymorph of the same formula = 0.083 eV/atom

Cell: 6.1177 6.3270 7.2684 Å, 90.00 90.00 90.00°
Element x y z (fractional)
Mg  0.0028  0.0834  0.1931
Mg  0.4972  0.9166  0.6931
Mg  0.5028  0.4166  0.8069
Mg  0.9972  0.5834  0.3069
Zn  0.0842  0.7769  0.8902
Zn  0.4158  0.2231  0.3902
Zn  0.5842  0.7231  0.1098
Zn  0.9158  0.2769  0.6098
Se  0.1522  0.1745  0.8596
Se  0.3478  0.8255  0.3596
Se  0.6522  0.3255  0.1404
Se  0.8478  0.6745  0.6404
O  0.0984  0.2960  0.3773
O  0.4016  0.7040  0.8773
O  0.5984  0.2040  0.6227
O  0.9016  0.7960  0.1227


[15]
Crystalline MgZnSeO at its relaxed geometry. Source: the Open Quantum Materials Database, functional PBE.

raw total energy = -29.10 eV for the cell shown
distance to the lowest polymorph of the same formula = 0.689 eV/atom

Cell: 4.8691 4.8691 6.4698 Å, 90.00 90.00 90.00°
Element x y z (fractional)
Mg  0.2500  0.2500  0.2132
Mg  0.7500  0.7500  0.7868
Zn  0.2500  0.2500  0.6595
Zn  0.7500  0.7500  0.3405
Se  0.2500  0.7500  0.5000
Se  0.7500  0.2500  0.5000
O  0.2500  0.2500  0.9351
O  0.7500  0.7500  0.0649


[16]
Crystalline MgZnSeO at its relaxed geometry. Source: the Open Quantum Materials Database, functional PBE.

raw total energy = -30.53 eV for the cell shown
distance to the lowest polymorph of the same formula = 0.510 eV/atom

Cell: 3.4804 3.4804 11.4426 Å, 90.00 90.00 90.00°
Element x y z (fractional)
Mg  0.2500  0.2500  0.0826
Mg  0.7500  0.7500  0.9174
Zn  0.2500  0.7500  0.5000
Zn  0.7500  0.2500  0.5000
Se  0.2500  0.2500  0.6535
Se  0.7500  0.7500  0.3465
O  0.2500  0.2500  0.9114
O  0.7500  0.7500  0.0886


[17]
Crystalline MgZnSi2O6 at its relaxed geometry. Source: the Open Quantum Materials Database, functional PBE.

raw total energy = -548.64 eV for the cell shown

Cell: 5.2146 18.1746 8.8965 Å, 90.00 90.00 90.00°
Element x y z (fractional)
Mg  0.1190  0.1243  0.1541
Mg  0.1190  0.3757  0.6541
Mg  0.3810  0.6243  0.1541
Mg  0.3810  0.8757  0.6541
Mg  0.6190  0.1243  0.3459
Mg  0.6190  0.3757  0.8459
Mg  0.8810  0.6243  0.3459
Mg  0.8810  0.8757  0.8459
Zn  0.1243  0.1241  0.5051
Zn  0.1243  0.3759  0.0051
Zn  0.3757  0.6241  0.5051
Zn  0.3757  0.8759  0.0051
Zn  0.6243  0.1241  0.9949
Zn  0.6243  0.3759  0.4949
Zn  0.8757  0.6241  0.9949
Zn  0.8757  0.8759  0.4949
Si  0.0640  0.7266  0.6598
Si  0.0640  0.7734  0.1598
Si  0.2089  0.0272  0.8355
Si  0.2089  0.4728  0.3355
Si  0.2911  0.5272  0.8355
Si  0.2911  0.9728  0.3355
Si  0.4360  0.2266  0.6598
Si  0.4360  0.2734  0.1598
Si  0.5640  0.7266  0.8402
Si  0.5640  0.7734  0.3402
Si  0.7089  0.0272  0.6645
Si  0.7089  0.4728  0.1645
Si  0.7911  0.5272  0.6645
Si  0.7911  0.9728  0.1645
Si  0.9360  0.2266  0.8402
Si  0.9360  0.2734  0.3402
O  0.0553  0.6841  0.1664
O  0.0553  0.8159  0.6664
O  0.0647  0.6899  0.4951
O  0.0647  0.8101  0.9951
O  0.0919  0.5533  0.6988
O  0.0919  0.9467  0.1988
O  0.1647  0.1941  0.7315
O  0.1647  0.3059  0.2315
O  0.1950  0.5673  0.9869
O  0.1950  0.9327  0.4869
O  0.2072  0.5626  0.3354
O  0.2072  0.9374  0.8354
O  0.2928  0.0626  0.3354
O  0.2928  0.4374  0.8354
O  0.3050  0.0673  0.9869
O  0.3050  0.4327  0.4869
O  0.3353  0.6941  0.7315
O  0.3353  0.8059  0.2315
O  0.4081  0.0533  0.6988
O  0.4081  0.4467  0.1988
O  0.4353  0.1899  0.4951
O  0.4353  0.3101  0.9951
O  0.4447  0.1841  0.1664
O  0.4447  0.3159  0.6664
O  0.5553  0.6841  0.3336
O  0.5553  0.8159  0.8336
O  0.5647  0.6899  0.0049
O  0.5647  0.8101  0.5049
O  0.5919  0.5533  0.8012
O  0.5919  0.9467  0.3012
O  0.6647  0.1941  0.7685
O  0.6647  0.3059  0.2685
O  0.6950  0.5673  0.5131
O  0.6950  0.9327  0.0131
O  0.7072  0.5626  0.1646
O  0.7072  0.9374  0.6646
O  0.7928  0.0626  0.1646
O  0.7928  0.4374  0.6646
O  0.8050  0.0673  0.5131
O  0.8050  0.4327  0.0131
O  0.8353  0.6941  0.7685
O  0.8353  0.8059  0.2685
O  0.9081  0.0533  0.8012
O  0.9081  0.4467  0.3012
O  0.9353  0.1899  0.0049
O  0.9353  0.3101  0.5049
O  0.9447  0.1841  0.3336
O  0.9447  0.3159  0.8336